Record 1
# Cr6C7 GGA-PBE relaxed
# Energy of formation from the pure elements   810 meV/atom
# Fermi-level density of states   0.571 states/eV per atom
data_Cr6C7
_cell_length_a 4.1230
_cell_length_b 4.1230
_cell_length_c 22.9650
_cell_angle_alpha 90.00
_cell_angle_beta 90.00
_cell_angle_gamma 120.00
_symmetry_space_group_name_H-M 'R -3 m'
_symmetry_Int_Tables_number 166
_symmetry_space_group_name_Hall '-R 3 2"'
loop_
_atom_site_label
_atom_site_type_symbol
_atom_site_fract_x
_atom_site_fract_y
_atom_site_fract_z
Cr1 Cr 0.0000 0.0000 0.0723
Cr2 Cr 0.0000 0.0000 0.1995
Cr3 Cr 0.0000 0.0000 0.3192
C1 C 0.0000 0.0000 0.5000
C2 C 0.0826 0.5413 0.0725

***

Record 2
# CrC3 GGA-PBE relaxed
# Energy of formation from the pure elements   1806 meV/atom
# Fermi-level density of states   0.263 states/eV per atom
# Energy relative to the lowest polymorph listed for this composition   1.0960 eV/atom
data_CrC3
_cell_length_a 2.714
_cell_length_b 2.714
_cell_length_c 3.906
_cell_angle_alpha 90.00
_cell_angle_beta 90.00
_cell_angle_gamma 90.00
_symmetry_space_group_name_H-M 'P 4/m m m'
_symmetry_Int_Tables_number 123
_symmetry_space_group_name_Hall '-P 4 2'
loop_
_atom_site_label
_atom_site_type_symbol
_atom_site_fract_x
_atom_site_fract_y
_atom_site_fract_z
Cr1 Cr 0.000 0.000 0.000
C1 C 0.000 0.000 0.500
C2 C 0.500 0.500 0.310